# Sr3As4Pd2

An optimized crystal structure of Sr3As4Pd2 (PBE, Alexandria).

density of states at the Fermi level	4.41	states/eV per cell
energy relative to the lowest polymorph listed for this composition	79	meV/atom
formation energy from the elements	-0.851	eV per atom
crystal system	monoclinic
SG	C2/m (12)
final energy	-4.6320	eV per atom

The structure in POSCAR format:
```
Sr3As4Pd2
1.0
4.5009 0.0000 0.0000
-2.2505 5.7920 -0.2482
0.0000 -2.6868 8.3704
Sr As Pd
3 4 2
direct
0.6203 0.2407 0.6824 Sr
0.0000 0.0000 0.0000 Sr
0.3797 0.7593 0.3176 Sr
0.7216 0.4431 0.0643 As
0.2784 0.5569 0.9357 As
0.8860 0.7719 0.5992 As
0.1140 0.2281 0.4008 As
0.6799 0.3597 0.3319 Pd
0.3201 0.6403 0.6681 Pd
```